[1]
Lu4HgSbC2 | PBE | relaxed

Unit cell a=3.5416 b=3.5416 c=15.1020 alpha=90.00 beta=90.00 gamma=120.00
Last column: nearest neighbours and their distance in Å.
Space group P-6m2 (No. 187)
Inequivalent atoms, fractional coordinates:
Lu1 0.0000 0.0000 0.1642 [2 per cell]  3 C 2.40
Lu2 0.3333 0.6667 0.3353 [2 per cell]  3 C 2.44
Hg1 0.0000 0.0000 0.5000 [1 per cell]  6 Lu 3.22, 6 Hg 3.54
Sb1 0.3333 0.6667 0.0000 [1 per cell]  6 Lu 3.21, 6 Sb 3.54
C1 0.6667 0.3333 0.2473 [2 per cell]  6 Lu 2.40-2.44

Output
Total magnetization (μB per formula unit): 0.63
Calculated total energy (eV per cell): -45.51



[2]
LaGePd | PBE | relaxed

Unit cell a=4.5197 b=4.5197 c=3.8737 alpha=90.00 beta=90.00 gamma=120.00
Last column: nearest neighbours and their distance in Å.
Space group P-6m2 (No. 187)
Inequivalent atoms, fractional coordinates:
La1 0.0000 0.0000 0.0000 [1 per cell]  6 Ge 3.25, 6 Pd 3.25
Ge1 0.6667 0.3333 0.5000 [1 per cell]  3 Pd 2.61
Pd1 0.3333 0.6667 0.5000 [1 per cell]  3 Ge 2.61

Output
Total magnetization (μB per formula unit): 0.00
Calculated total energy (eV per cell): -17.59



[3]
SrTcO3 | PBE | relaxed

Unit cell a=5.5727 b=7.8933 c=5.5960 alpha=90.00 beta=90.00 gamma=90.00
Last column: nearest neighbours and their distance in Å.
Space group Imma (No. 74)
Inequivalent atoms, fractional coordinates:
Sr1 0.0000 0.2500 0.0010 [4 per cell]  11 O 2.59-2.90
Tc1 0.0000 0.0000 0.5000 [4 per cell]  6 O 1.98
O1 0.0000 0.2500 0.5377 [4 per cell]  2 Tc 1.98
O2 0.2500 0.0190 0.2500 [8 per cell]  2 Tc 1.98

Output
Total magnetization (μB per formula unit): 0.48
Calculated total energy (eV per cell): -148.27



[4]
MgCuTe3Ir | PBE | relaxed

Unit cell a=4.0858 b=12.7004 c=10.2755 alpha=90.00 beta=90.00 gamma=90.00
Last column: nearest neighbours and their distance in Å.
Space group Cmcm (No. 63)
Inequivalent atoms, fractional coordinates:
Mg1 0.0000 0.2354 0.2500 [4 per cell]  8 Te 3.04-3.31, 2 Cu 3.17
Cu1 0.0000 0.4559 0.7500 [4 per cell]  4 Te 2.54-2.64
Te1 0.0000 0.0878 0.7500 [4 per cell]  2 Cu 2.64, 2 Ir 2.80
Te2 0.0000 0.3603 0.5327 [8 per cell]  1 Cu 2.54, 2 Ir 2.73
Ir1 0.0000 0.0000 0.0000 [4 per cell]  6 Te 2.73-2.80

Output
Total magnetization (μB per formula unit): 0.00
Calculated total energy (eV per cell): -97.92



[5]
TaPbAu | PBE | relaxed

Unit cell a=6.6114 b=6.6114 c=6.6114 alpha=90.00 beta=90.00 gamma=90.00
Last column: nearest neighbours and their distance in Å.
Space group F-43m (No. 216)
Inequivalent atoms, fractional coordinates:
Ta1 0.0000 0.0000 0.0000 [4 per cell]  4 Pb 2.86, 4 Au 2.86
Pb1 0.2500 0.2500 0.2500 [4 per cell]  4 Ta 2.86
Au1 0.2500 0.2500 0.7500 [4 per cell]  4 Ta 2.86

Output
Total magnetization (μB per formula unit): 0.00
Calculated total energy (eV per cell): -67.75



[6]
PmBi2 | PBE | relaxed

Unit cell a=9.1840 b=9.1840 c=9.1840 alpha=90.00 beta=90.00 gamma=90.00
Last column: nearest neighbours and their distance in Å.
Space group Fd-3m (No. 227, origin choice 2)
Inequivalent atoms, fractional coordinates:
Pm1 0.1250 0.1250 0.1250 [8 per cell]  12 Bi 3.81, 4 Pm 3.98
Bi1 0.0000 0.0000 0.5000 [16 per cell]  6 Bi 3.25

Output
Total magnetization (μB per formula unit): 0.48
E above lowest polymorph (eV/f.u.): 0.77



[7]
HoThP2 | PBE | relaxed

Unit cell a=4.0759 b=4.0759 c=19.7902 alpha=90.00 beta=90.00 gamma=120.00
Last column: nearest neighbours and their distance in Å.
Space group R-3m (No. 166, hexagonal axes)
Inequivalent atoms, fractional coordinates:
Ho1 0.0000 0.0000 0.0000 [3 per cell]  6 P 2.84
Th1 0.0000 0.0000 0.5000 [3 per cell]  6 P 2.91
P1 0.0000 0.0000 0.2529 [6 per cell]  3 Ho 2.84, 3 Th 2.91

Output
Total magnetization (μB per formula unit): 0.00
Calculated total energy (eV per cell): -87.47



[8]
Li2Mg2AlInAg2 | PBE | relaxed

Unit cell a=4.6234 b=4.6234 c=6.5744 alpha=90.00 beta=90.00 gamma=90.00
Last column: nearest neighbours and their distance in Å.
Space group P-4m2 (No. 115)
Inequivalent atoms, fractional coordinates:
Li1 0.0000 0.5000 0.2397 [2 per cell]  4 Mg 2.80-2.88, 2 Al 2.80, 2 In 2.88, 1 Ag 3.10
Mg1 0.0000 0.0000 0.0000 [1 per cell]  4 Ag 2.77, 4 Li 2.80
Mg2 0.5000 0.5000 0.5000 [1 per cell]  4 Li 2.88, 4 Ag 2.91
Al1 0.5000 0.5000 0.0000 [1 per cell]  4 Ag 2.77, 4 Li 2.80
In1 0.0000 0.0000 0.5000 [1 per cell]  4 Li 2.88, 4 Ag 2.91
Ag1 0.0000 0.5000 0.7678 [2 per cell]  4 Mg 2.77-2.91, 2 Al 2.77, 2 In 2.91

Output
Calculated total energy (eV per cell): -20.99



[9]
GdY2Cd | PBE | relaxed

Unit cell a=5.5014 b=7.2046 c=11.8022 alpha=90.00 beta=90.00 gamma=90.00
Last column: nearest neighbours and their distance in Å.
Space group Amm2 (No. 38)
Inequivalent atoms, fractional coordinates:
Gd1 0.0000 0.0000 0.0000 [2 per cell]  4 Cd 3.38-3.53, 8 Y 3.39-3.60
Gd2 0.5000 0.0000 0.3167 [2 per cell]  8 Y 3.37-3.60, 4 Cd 3.42
Y1 0.0000 0.0000 0.4991 [2 per cell]  4 Cd 3.36-3.55, 4 Y 3.41, 4 Gd 3.49-3.60
Y2 0.5000 0.0000 0.8197 [2 per cell]  4 Cd 3.40, 4 Y 3.42-3.49, 4 Gd 3.48-3.60
Y3 0.5000 0.2478 0.0740 [4 per cell]  4 Gd 3.37-3.54, 2 Cd 3.38, 6 Y 3.41-3.63
Cd1 0.0000 0.2465 0.7411 [4 per cell]  6 Y 3.36-3.55, 4 Gd 3.38-3.53, 2 Cd 3.55-3.65

Output
Total magnetization (μB per formula unit): 0.03
E above lowest polymorph (eV/f.u.): 0.30
Formation enthalpy at 0 K (meV/atom): -54



[10]
Cs2K2ZnSb2 | PBE | relaxed

Unit cell a=6.1850 b=6.1850 c=31.2594 alpha=90.00 beta=90.00 gamma=120.00
Last column: nearest neighbours and their distance in Å.
Space group R-3m (No. 166, hexagonal axes)
Inequivalent atoms, fractional coordinates:
Cs1 0.0000 0.0000 0.2079 [6 per cell]  4 Sb 3.84-3.99
K1 0.0000 0.0000 0.3764 [6 per cell]  3 Sb 3.75, 3 Zn 3.82
Zn1 0.0000 0.0000 0.0000 [3 per cell]  2 Sb 2.50
Sb1 0.0000 0.0000 0.0801 [6 per cell]  1 Zn 2.50

Output
E above lowest polymorph (eV/f.u.): 0.00



[11]
Dy3Tm3Te2Os | PBE | relaxed

Unit cell a=8.2631 b=8.2631 c=4.0224 alpha=90.00 beta=90.00 gamma=120.00
Last column: nearest neighbours and their distance in Å.
Space group P-62m (No. 189)
Inequivalent atoms, fractional coordinates:
Dy1 0.0000 0.7581 0.0000 [3 per cell]  2 Os 2.84
Tm1 0.0000 0.3871 0.5000 [3 per cell]  1 Os 3.20, 4 Te 3.26, 4 Dy 3.45
Te1 0.3333 0.6667 0.0000 [2 per cell]  3 Dy 3.20, 6 Tm 3.26
Os1 0.0000 0.0000 0.5000 [1 per cell]  6 Dy 2.84

Output
Total magnetization (μB per formula unit): 0.01
E above lowest polymorph (eV/f.u.): 0.52



[12]
HgIrSO | PBE | relaxed

Unit cell a=4.8128 b=4.8022 c=13.4469 alpha=90.00 beta=92.13 gamma=90.00
Last column: nearest neighbours and their distance in Å.
Space group P2_1 (No. 4)
Inequivalent atoms, fractional coordinates:
Hg1 0.0574 0.0000 0.1560 [2 per cell]  2 S 2.73-2.75, 2 Hg 2.90-2.91
Hg2 0.3252 0.3205 0.0026 [2 per cell]  4 Hg 2.90-2.93
Ir1 0.0478 0.0365 0.5948 [2 per cell]  4 O 2.13-2.26, 2 S 2.25-2.27
Ir2 0.4523 0.6342 0.5938 [2 per cell]  4 O 2.13-2.21, 2 S 2.25-2.26
S1 0.2587 0.3670 0.2987 [2 per cell]  2 Ir 2.25-2.26
S2 0.2891 0.3201 0.7014 [2 per cell]  2 Ir 2.25-2.27
O1 0.2453 0.8359 0.4628 [2 per cell]  4 Ir 2.14-2.26
O2 0.2521 0.3335 0.5000 [2 per cell]  4 Ir 2.13-2.17

Output
Total magnetization (μB per formula unit): 0.00
E above lowest polymorph (eV/f.u.): 0.51